Record 1
# Ba2MgAl3Zn4 | Alexandria via LeMat-Bulk | PBE-GGA | optimized geometry
data_Ba2MgAl3Zn4
_symmetry_space_group_name_H-M 'P -4 m 2'
_symmetry_Int_Tables_number 115
_cell_length_a 4.5587
_cell_length_b 4.5587
_cell_length_c 11.4347
_cell_angle_alpha 90.00
_cell_angle_beta 90.00
_cell_angle_gamma 90.00
loop_
_symmetry_equiv_pos_as_xyz
'x,y,z'
'y,-x,-z'
'-x,-y,z'
'-y,x,-z'
'-x,y,z'
'-y,-x,-z'
'x,-y,z'
'y,x,-z'
loop_
_atom_site_label
_atom_site_fract_x
_atom_site_fract_y
_atom_site_fract_z
Ba1 0.0000 0.5000 0.2414
Mg1 0.0000 0.0000 0.5000
Al1 0.0000 0.5000 0.8775
Al2 0.5000 0.5000 0.5000
Zn1 0.0000 0.0000 0.0000
Zn2 0.0000 0.5000 0.6371
Zn3 0.5000 0.5000 0.0000
# **DOS at the Fermi energy**: 7.74 states/eV per cell
# **Energy**: -2.3671 eV per atom


Record 2
# Si2AgCl | Alexandria via LeMat-Bulk | PBE-GGA | optimized geometry
data_Si2AgCl
_symmetry_space_group_name_H-M 'C 1 m 1'
_symmetry_Int_Tables_number 8
_cell_length_a 12.3749
_cell_length_b 2.8789
_cell_length_c 4.5363
_cell_angle_alpha 90.00
_cell_angle_beta 109.46
_cell_angle_gamma 90.00
loop_
_symmetry_equiv_pos_as_xyz
'x,y,z'
'x,-y,z'
'x+1/2,y+1/2,z'
'x+1/2,-y+1/2,z'
loop_
_atom_site_label
_atom_site_fract_x
_atom_site_fract_y
_atom_site_fract_z
Si1 0.0000 0.0000 0.0000
Si2 0.1826 0.5000 0.1193
Ag1 0.4349 0.0000 0.4400
Cl1 0.2182 0.0000 0.7391
# **DOS at the Fermi energy**: 0.77 states/eV per cell
# **Uncorrected formation energy**: 0.269 eV per atom


Record 3
# Np3Al4Ga4 | Alexandria via LeMat-Bulk | PBE-GGA | optimized geometry
data_Np3Al4Ga4
_symmetry_space_group_name_H-M 'A m m 2'
_symmetry_Int_Tables_number 38
_cell_length_a 8.2060
_cell_length_b 4.1666
_cell_length_c 12.5675
_cell_angle_alpha 90.00
_cell_angle_beta 90.00
_cell_angle_gamma 90.00
loop_
_symmetry_equiv_pos_as_xyz
'x,y,z'
'-x,-y,z'
'-x,y,z'
'x,-y,z'
'x,y+1/2,z+1/2'
'-x,-y+1/2,z+1/2'
'-x,y+1/2,z+1/2'
'x,-y+1/2,z+1/2'
loop_
_atom_site_label
_atom_site_fract_x
_atom_site_fract_y
_atom_site_fract_z
Np1 0.0000 0.0000 0.0000
Np2 0.2343 0.0000 0.1165
Al1 0.0000 0.0000 0.3161
Al2 0.2570 0.0000 0.8117
Al3 0.5000 0.0000 0.2981
Ga1 0.0000 0.0000 0.6766
Ga2 0.2638 0.0000 0.4463
Ga3 0.5000 0.0000 0.6523
# **DOS at the Fermi energy**: 32.03 states/eV per cell
# **Energy**: -6.0467 eV per atom


Record 4
# LiHo2Pu3S6 | Alexandria via LeMat-Bulk | PBE-GGA | optimized geometry
data_LiHo2Pu3S6
_symmetry_space_group_name_H-M 'C 1 2/m 1'
_symmetry_Int_Tables_number 12
_cell_length_a 6.7788
_cell_length_b 11.7436
_cell_length_c 6.7874
_cell_angle_alpha 90.00
_cell_angle_beta 109.47
_cell_angle_gamma 90.00
loop_
_symmetry_equiv_pos_as_xyz
'x,y,z'
'-x,-y,-z'
'-x,y,-z'
'x,-y,z'
'x+1/2,y+1/2,z'
'-x+1/2,-y+1/2,-z'
'-x+1/2,y+1/2,-z'
'x+1/2,-y+1/2,z'
loop_
_atom_site_label
_atom_site_fract_x
_atom_site_fract_y
_atom_site_fract_z
Li1 0.0000 0.0000 0.0000
Ho1 0.0000 0.3334 0.0000
Pu1 0.0000 0.1668 0.5000
Pu2 0.0000 0.5000 0.5000
S1 0.2455 0.1651 0.2413
S2 0.2497 0.0000 0.7584
# **DOS at the Fermi energy**: 43.76 states/eV per cell
# **Uncorrected formation energy**: -1.810 eV per atom


Record 5
# BaGa2Sn2 | Alexandria via LeMat-Bulk | PBE-GGA | optimized geometry
data_BaGa2Sn2
_symmetry_space_group_name_H-M 'I 4/m m m'
_symmetry_Int_Tables_number 139
_symmetry_space_group_name_Hall '-I 4 2'
_cell_length_a 4.9763
_cell_length_b 4.9763
_cell_length_c 23.1299
_cell_angle_alpha 90.00
_cell_angle_beta 90.00
_cell_angle_gamma 90.00
loop_
_atom_site_label
_atom_site_fract_x
_atom_site_fract_y
_atom_site_fract_z
Ba1 0.0000 0.0000 0.1212
Ga1 0.0000 0.0000 0.3124
Ga2 0.0000 0.5000 0.0000
Sn1 0.0000 0.0000 0.4299
Sn2 0.0000 0.5000 0.2500
# **DOS at the Fermi energy**: 7.12 states/eV per cell
# **Energy**: -3.5277 eV per atom


Record 6
# SrCaSc2 | Alexandria via LeMat-Bulk | PBE-GGA | optimized geometry
data_SrCaSc2
_symmetry_space_group_name_H-M 'P 4/m m m'
_symmetry_Int_Tables_number 123
_symmetry_space_group_name_Hall '-P 4 2'
_cell_length_a 3.5731
_cell_length_b 3.5731
_cell_length_c 10.6080
_cell_angle_alpha 90.00
_cell_angle_beta 90.00
_cell_angle_gamma 90.00
loop_
_atom_site_label
_atom_site_fract_x
_atom_site_fract_y
_atom_site_fract_z
Sr1 0.0000 0.0000 0.0000
Ca1 0.0000 0.0000 0.5000
Sc1 0.5000 0.5000 0.2604
# **DOS at the Fermi energy**: 7.56 states/eV per cell
# **Energy**: -3.7416 eV per atom


Record 7
# NdSmEr2Te6 | Alexandria via LeMat-Bulk | PBE-GGA | optimized geometry
data_NdSmEr2Te6
_symmetry_space_group_name_H-M 'R 3'
_symmetry_Int_Tables_number 146
_symmetry_space_group_name_Hall 'R 3'
_cell_length_a 7.7822
_cell_length_b 7.7822
_cell_length_c 21.1194
_cell_angle_alpha 90.00
_cell_angle_beta 90.00
_cell_angle_gamma 120.00
loop_
_atom_site_label
_atom_site_fract_x
_atom_site_fract_y
_atom_site_fract_z
Nd1 0.0000 0.0000 0.0000
Sm1 0.0000 0.0000 0.4984
Er1 0.0000 0.0000 0.3099
Er2 0.0000 0.0000 0.8109
Te1 0.0135 0.3622 0.5673
Te2 0.0138 0.6460 0.0675
# **Uncorrected formation energy**: -1.360 eV per atom


Record 8
# LaMnSi2 | Alexandria via LeMat-Bulk | PBE-GGA | optimized geometry
data_LaMnSi2
_symmetry_space_group_name_H-M 'P n m a'
_symmetry_Int_Tables_number 62
_cell_length_a 7.4125
_cell_length_b 3.9577
_cell_length_c 10.3218
_cell_angle_alpha 90.00
_cell_angle_beta 90.00
_cell_angle_gamma 90.00
loop_
_symmetry_equiv_pos_as_xyz
'x,y,z'
'-x,-y,-z'
'-x+1/2,-y,z+1/2'
'x+1/2,y,-z+1/2'
'x+1/2,-y+1/2,-z+1/2'
'-x+1/2,y+1/2,z+1/2'
'-x,y+1/2,-z'
'x,-y+1/2,z'
loop_
_atom_site_label
_atom_site_fract_x
_atom_site_fract_y
_atom_site_fract_z
La1 0.1366 0.2500 0.1277
Mn1 0.0045 0.7500 0.3939
Si1 0.1746 0.2500 0.8137
Si2 0.2002 0.2500 0.4294
# **DOS at the Fermi energy**: 10.43 states/eV per cell
# **Uncorrected formation energy**: -0.563 eV per atom


Record 9
# La4GaBiI2 | Alexandria via LeMat-Bulk | PBE-GGA | optimized geometry
data_La4GaBiI2
_symmetry_space_group_name_H-M 'P 1 2/m 1'
_symmetry_Int_Tables_number 10
_cell_length_a 7.9171
_cell_length_b 4.6192
_cell_length_c 8.1639
_cell_angle_alpha 90.00
_cell_angle_beta 109.42
_cell_angle_gamma 90.00
loop_
_symmetry_equiv_pos_as_xyz
'x,y,z'
'-x,-y,-z'
'-x,y,-z'
'x,-y,z'
loop_
_atom_site_label
_atom_site_fract_x
_atom_site_fract_y
_atom_site_fract_z
La1 0.2149 0.0000 0.2200
La2 0.2260 0.5000 0.7626
Ga1 0.0000 0.5000 0.0000
Bi1 0.0000 0.0000 0.5000
I1 0.5000 0.0000 0.0000
I2 0.5000 0.5000 0.5000
# **DOS at the Fermi energy**: 4.95 states/eV per cell
# **Uncorrected formation energy**: -0.957 eV per atom


Record 10
# EuHO | Alexandria via LeMat-Bulk | PBE-GGA | optimized geometry
data_EuHO
_symmetry_space_group_name_H-M 'F -4 3 m'
_symmetry_Int_Tables_number 216
_symmetry_space_group_name_Hall 'F -4 2 3'
_cell_length_a 5.4481
_cell_length_b 5.4481
_cell_length_c 5.4481
_cell_angle_alpha 90.00
_cell_angle_beta 90.00
_cell_angle_gamma 90.00
loop_
_atom_site_label
_atom_site_fract_x
_atom_site_fract_y
_atom_site_fract_z
Eu1 0.0000 0.0000 0.0000
H1 0.2500 0.2500 0.7500
O1 0.2500 0.2500 0.2500
# **DOS at the Fermi energy**: 30.07 states/eV per cell
# **Energy**: -7.9029 eV per atom


Record 11
# Er6TeAs2S3 | Alexandria via LeMat-Bulk | PBE-GGA | optimized geometry
data_Er6TeAs2S3
_symmetry_space_group_name_H-M 'C 1 2/m 1'
_symmetry_Int_Tables_number 12
_cell_length_a 17.4953
_cell_length_b 4.0059
_cell_length_c 8.0639
_cell_angle_alpha 90.00
_cell_angle_beta 103.05
_cell_angle_gamma 90.00
loop_
_symmetry_equiv_pos_as_xyz
'x,y,z'
'-x,-y,-z'
'-x,y,-z'
'x,-y,z'
'x+1/2,y+1/2,z'
'-x+1/2,-y+1/2,-z'
'-x+1/2,y+1/2,-z'
'x+1/2,-y+1/2,z'
loop_
_atom_site_label
_atom_site_fract_x
_atom_site_fract_y
_atom_site_fract_z
Er1 0.9999 0.0000 0.2196
Er2 0.1662 0.5000 0.0838
Er3 0.1775 0.5000 0.5893
Te1 0.0000 0.5000 0.5000
As1 0.1665 0.0000 0.8320
S1 0.0000 0.5000 0.0000
S2 0.1630 0.0000 0.3326
# **DOS at the Fermi energy**: 8.17 states/eV per cell
# **Uncorrected formation energy**: -1.696 eV per atom


Record 12
# KPm2ReN4 | Alexandria via LeMat-Bulk | PBE-GGA | optimized geometry
data_KPm2ReN4
_symmetry_space_group_name_H-M 'C m c m'
_symmetry_Int_Tables_number 63
_symmetry_space_group_name_Hall '-C 2c 2'
_cell_length_a 3.4897
_cell_length_b 12.9943
_cell_length_c 12.3844
_cell_angle_alpha 90.00
_cell_angle_beta 90.00
_cell_angle_gamma 90.00
loop_
_atom_site_label
_atom_site_fract_x
_atom_site_fract_y
_atom_site_fract_z
K1 0.0000 0.0711 0.2500
Pm1 0.0000 0.3734 0.0372
Re1 0.0000 0.1934 0.7500
N1 0.0000 0.0000 0.0000
N2 0.0000 0.2565 0.6157
N3 0.0000 0.3819 0.2500
# **DOS at the Fermi energy**: 17.57 states/eV per cell
# **Uncorrected formation energy**: -0.742 eV per atom


Respective density values: 4.48 4.35 8.48 8.22 5.96 2.67 6.27 5.48 6.42 6.94 8.31 6.76 g/cm³.